1.
This record from Alexandria via LeMat-Bulk describes crystalline Tb4DyTh at its relaxed geometry. The functional is PBE.

Cell and atoms, written as CIF:
```
data_Tb4DyTh
_chemical_formula_sum 'Tb4 Dy1 Th1'
_cell_length_a 3.555
_cell_length_b 6.162
_cell_length_c 9.435
_cell_angle_alpha 77.42
_cell_angle_beta 79.18
_cell_angle_gamma 73.46
_symmetry_space_group_name_H-M 'P -1'
_symmetry_Int_Tables_number 2
loop_
_symmetry_equiv_pos_as_xyz
'x,y,z'
'-x,-y,-z'
loop_
_atom_site_label
_atom_site_fract_x
_atom_site_fract_y
_atom_site_fract_z
Tb1 0.165 0.000 0.170
Tb2 0.165 0.505 0.663
Dy1 0.500 0.500 0.000
Th1 0.500 0.000 0.500
```

Total magnetization = 0.00 μB per formula unit
Total DFT energy (no corrections) = -5.07 eV/atom
Formation energy = 2.4 kJ per mole of atoms


2.
This record from Alexandria via LeMat-Bulk describes crystalline Tb2Dy2Th5 at its relaxed geometry. The functional is PBE.

Cell and atoms, written as CIF:
```
data_Tb2Dy2Th5
_chemical_formula_sum 'Tb2 Dy2 Th5'
_cell_length_a 5.012
_cell_length_b 6.200
_cell_length_c 10.695
_cell_angle_alpha 95.49
_cell_angle_beta 103.51
_cell_angle_gamma 113.84
_symmetry_space_group_name_H-M 'P -1'
_symmetry_Int_Tables_number 2
loop_
_symmetry_equiv_pos_as_xyz
'x,y,z'
'-x,-y,-z'
loop_
_atom_site_label
_atom_site_fract_x
_atom_site_fract_y
_atom_site_fract_z
Tb1 0.110 0.276 0.444
Dy1 0.223 0.056 0.890
Th1 0.000 0.500 0.000
Th2 0.331 0.831 0.331
Th3 0.443 0.607 0.778
```

Total magnetization = 0.00 μB per formula unit
Total DFT energy (no corrections) = -6.12 eV/atom
Formation energy = 5.3 kJ per mole of atoms


Please write out number 1 again, unchanged.
This record from Alexandria via LeMat-Bulk describes crystalline Tb4DyTh at its relaxed geometry. The functional is PBE.

Cell and atoms, written as CIF:
```
data_Tb4DyTh
_chemical_formula_sum 'Tb4 Dy1 Th1'
_cell_length_a 3.555
_cell_length_b 6.162
_cell_length_c 9.435
_cell_angle_alpha 77.42
_cell_angle_beta 79.18
_cell_angle_gamma 73.46
_symmetry_space_group_name_H-M 'P -1'
_symmetry_Int_Tables_number 2
loop_
_symmetry_equiv_pos_as_xyz
'x,y,z'
'-x,-y,-z'
loop_
_atom_site_label
_atom_site_fract_x
_atom_site_fract_y
_atom_site_fract_z
Tb1 0.165 0.000 0.170
Tb2 0.165 0.505 0.663
Dy1 0.500 0.500 0.000
Th1 0.500 0.000 0.500
```

Total magnetization = 0.00 μB per formula unit
Total DFT energy (no corrections) = -5.07 eV/atom
Formation energy = 2.4 kJ per mole of atoms


Which value of formation energy does entry 2 give?
5.3 kJ per mole of atoms


Please write out number 1 again, unchanged.
This record from Alexandria via LeMat-Bulk describes crystalline Tb4DyTh at its relaxed geometry. The functional is PBE.

Cell and atoms, written as CIF:
```
data_Tb4DyTh
_chemical_formula_sum 'Tb4 Dy1 Th1'
_cell_length_a 3.555
_cell_length_b 6.162
_cell_length_c 9.435
_cell_angle_alpha 77.42
_cell_angle_beta 79.18
_cell_angle_gamma 73.46
_symmetry_space_group_name_H-M 'P -1'
_symmetry_Int_Tables_number 2
loop_
_symmetry_equiv_pos_as_xyz
'x,y,z'
'-x,-y,-z'
loop_
_atom_site_label
_atom_site_fract_x
_atom_site_fract_y
_atom_site_fract_z
Tb1 0.165 0.000 0.170
Tb2 0.165 0.505 0.663
Dy1 0.500 0.500 0.000
Th1 0.500 0.000 0.500
```

Total magnetization = 0.00 μB per formula unit
Total DFT energy (no corrections) = -5.07 eV/atom
Formation energy = 2.4 kJ per mole of atoms


The lowest total DFT energy (no corrections) belongs to which entry?
Tb2Dy2Th5